# SbAs2N PBE optimized geometry
data_SbAs2N
_chemical_formula_sum 'Sb4 As8 N4'
_cell_length_a 6.577
_cell_length_b 6.577
_cell_length_c 6.577
_cell_angle_alpha 90.00
_cell_angle_beta 90.00
_cell_angle_gamma 90.00
_symmetry_space_group_name_H-M 'F m -3 m'
_symmetry_Int_Tables_number 225
_symmetry_space_group_name_Hall '-F 4 2 3'
loop_
_atom_site_label
_atom_site_fract_x
_atom_site_fract_y
_atom_site_fract_z
Sb1 0.000 0.000 0.000
As1 0.250 0.250 0.250
N1 0.000 0.000 0.500
# - ΔE_f (raw): 1.31 eV/atom
# - DOS at the Fermi energy: 11.60 states/eV per cell